## DyPu3Tl4O12 (PBE-GGA)

Data for a relaxed structure of DyPu3Tl4O12. Values from VASP.

Quantum ESPRESSO input file:
```
&SYSTEM
  ibrav = 0, nat = 20, ntyp = 4
/
ATOMIC_SPECIES
Dy 162.50 Dy.upf
Pu 244.00 Pu.upf
Tl 204.38 Tl.upf
O 16.00 O.upf
CELL_PARAMETERS angstrom
-4.3202 4.3202 4.3202
4.3202 -4.3202 4.3202
4.3202 4.3202 -4.3202
ATOMIC_POSITIONS angstrom
Dy 0.0000 0.0000 0.0000
Pu 4.3202 0.0000 0.0000
Pu 0.0000 4.3202 0.0000
Pu 0.0000 0.0000 4.3202
Tl 2.1601 2.1601 -2.1601
Tl 2.1601 -2.1601 2.1601
Tl -2.1601 2.1601 2.1601
Tl 2.1601 2.1601 2.1601
O 2.3027 0.0000 0.0000
O 6.3378 0.0000 0.0000
O 4.3202 2.1601 0.0000
O 4.3202 0.0000 2.1601
O 0.0000 2.3027 0.0000
O 0.0000 0.0000 2.3027
O 2.1601 4.3202 0.0000
O 2.1601 0.0000 4.3202
O 0.0000 6.3378 0.0000
O 0.0000 0.0000 6.3378
O 0.0000 4.3202 2.1601
O 0.0000 2.1601 4.3202
```

Summary:
**Magnetic moment**: 0.35 μB per atom
**Crystal system**: cubic
**Total energy**: -8.0088 eV per atom
**Formation energy from raw total energies**: -2.181 eV/atom

---

## DyPuTlO6 (PBE-GGA)

Data for a relaxed structure of DyPuTlO6. Values from VASP.

Quantum ESPRESSO input file:
```
&SYSTEM
  ibrav = 0, nat = 18, ntyp = 4
/
ATOMIC_SPECIES
Dy 162.50 Dy.upf
Pu 244.00 Pu.upf
Tl 204.38 Tl.upf
O 16.00 O.upf
CELL_PARAMETERS angstrom
5.6184 0.0000 0.0000
-2.8092 4.8656 0.0000
0.0000 0.0000 9.8301
ATOMIC_POSITIONS angstrom
Dy 0.0000 0.0000 0.0000
Dy 0.0000 0.0000 4.9150
Pu 0.0000 3.2438 2.4575
Pu 2.8092 1.6219 7.3726
Tl 0.0000 3.2438 7.3726
Tl 2.8092 1.6219 2.4575
O -0.8276 1.7272 1.2885
O -1.7272 3.2853 3.6265
O 0.8276 1.7272 3.6265
O -0.8996 4.7188 1.2885
O 1.9096 0.1469 6.2035
O 1.0820 1.5803 8.5416
O 1.7272 3.2853 1.2885
O 0.8996 4.7188 3.6265
O 3.7088 0.1469 8.5416
O 1.9816 3.1385 6.2035
O 4.5364 1.5803 6.2035
O 3.6368 3.1385 8.5416
```

Summary:
**Magnetic moment**: 0.22 μB per atom
**Crystal system**: trigonal
**Total energy**: -7.8848 eV per atom
**Formation energy from raw total energies**: -2.213 eV/atom

---

## Dy2TmPuO8 (PBE-GGA)

Data for a relaxed structure of Dy2TmPuO8. Values from VASP.

Quantum ESPRESSO input file:
```
&SYSTEM
  ibrav = 0, nat = 12, ntyp = 4
/
ATOMIC_SPECIES
Dy 162.50 Dy.upf
Tm 168.93 Tm.upf
Pu 244.00 Pu.upf
O 16.00 O.upf
CELL_PARAMETERS angstrom
3.5520 -3.6283 0.0000
3.5520 3.6283 0.0000
0.0000 0.0000 6.9210
ATOMIC_POSITIONS angstrom
Dy 0.0000 0.0000 1.6607
Dy 0.0000 0.0000 5.2603
Tm 3.5520 0.0000 0.0000
Pu 3.5520 0.0000 3.4605
O 1.3860 0.0000 0.0000
O 1.5606 0.0000 3.4605
O 3.5520 1.3255 1.9036
O 3.5520 1.3255 5.0174
O 3.5520 -1.3255 1.9036
O 3.5520 -1.3255 5.0174
O 5.5434 0.0000 3.4605
O 5.7179 0.0000 0.0000
```

Summary:
**Magnetic moment**: 0.08 μB per atom
**Crystal system**: orthorhombic
**Total energy**: -8.7441 eV per atom
**Formation energy from raw total energies**: -3.105 eV/atom

---

## DyTmPuO6 (PBE-GGA)

Data for a relaxed structure of DyTmPuO6. Values from VASP.

Quantum ESPRESSO input file:
```
&SYSTEM
  ibrav = 0, nat = 18, ntyp = 4
/
ATOMIC_SPECIES
Dy 162.50 Dy.upf
Tm 168.93 Tm.upf
Pu 244.00 Pu.upf
O 16.00 O.upf
CELL_PARAMETERS angstrom
5.6679 0.0000 0.0000
-2.8340 4.9086 0.0000
0.0000 0.0000 9.4594
ATOMIC_POSITIONS angstrom
Dy 0.0000 0.0000 0.0000
Dy 0.0000 0.0000 4.7297
Tm 0.0000 3.2724 2.3649
Tm 2.8340 1.6362 7.0946
Pu 0.0000 3.2724 7.0946
Pu 2.8340 1.6362 2.3649
O -0.8879 1.7447 5.9980
O -1.7669 3.2673 8.1912
O 0.8879 1.7447 8.1912
O -0.8790 4.8051 5.9980
O 1.9549 0.1034 1.2682
O 1.0670 1.6413 3.4615
O 1.7669 3.2673 5.9980
O 0.8790 4.8051 8.1912
O 3.7130 0.1034 3.4615
O 1.9461 3.1638 1.2682
O 4.6009 1.6413 1.2682
O 3.7218 3.1638 3.4615
```

Summary:
**Magnetic moment**: 0.22 μB per atom
**Crystal system**: trigonal
**Total energy**: -8.9936 eV per atom
**Formation energy from raw total energies**: -3.088 eV/atom

---

## DyY2PuO8 (PBE-GGA)

Data for a relaxed structure of DyY2PuO8. Values from VASP.

Quantum ESPRESSO input file:
```
&SYSTEM
  ibrav = 0, nat = 12, ntyp = 4
/
ATOMIC_SPECIES
Dy 162.50 Dy.upf
Y 88.91 Y.upf
Pu 244.00 Pu.upf
O 16.00 O.upf
CELL_PARAMETERS angstrom
3.5750 -3.6392 0.0000
3.5750 3.6392 0.0000
0.0000 0.0000 6.9710
ATOMIC_POSITIONS angstrom
Dy 0.0000 0.0000 0.0000
Y 3.5750 0.0000 1.6783
Y 3.5750 0.0000 5.2926
Pu 0.0000 0.0000 3.4855
O 3.5750 2.3075 1.9412
O 3.5750 2.3075 5.0297
O 1.9997 0.0000 3.4855
O 2.1973 0.0000 0.0000
O 4.9527 0.0000 0.0000
O 5.1503 0.0000 3.4855
O 3.5750 -2.3075 1.9412
O 3.5750 -2.3075 5.0297
```

Summary:
**Magnetic moment**: 0.08 μB per atom
**Crystal system**: orthorhombic
**Total energy**: -9.0374 eV per atom
**Formation energy from raw total energies**: -3.077 eV/atom

---

## DyPuZnO6 (PBE-GGA)

Data for a relaxed structure of DyPuZnO6. Values from VASP.

Quantum ESPRESSO input file:
```
&SYSTEM
  ibrav = 0, nat = 9, ntyp = 4
/
ATOMIC_SPECIES
Dy 162.50 Dy.upf
Pu 244.00 Pu.upf
Zn 65.41 Zn.upf
O 16.00 O.upf
CELL_PARAMETERS angstrom
5.6210 0.0000 0.0000
-2.8105 4.8680 0.0000
0.0000 0.0000 4.4952
ATOMIC_POSITIONS angstrom
Dy 0.0000 0.0000 0.0000
Pu 0.0000 3.2453 0.0000
Zn 2.8105 1.6227 2.2476
O -0.8936 1.7744 1.0707
O -1.7207 3.2069 3.4245
O 0.8936 1.7744 3.4245
O -0.8271 4.7546 1.0707
O 1.7207 3.2069 1.0707
O 0.8271 4.7546 3.4245
```

Summary:
**Magnetic moment**: 0.11 μB per atom
**Crystal system**: trigonal
**Total energy**: -7.8336 eV per atom
**Formation energy from raw total energies**: -2.283 eV/atom

---

## Rb5DyO4 (PBE-GGA)

Data for a relaxed structure of Rb5DyO4. Values from VASP.

Quantum ESPRESSO input file:
```
&SYSTEM
  ibrav = 0, nat = 10, ntyp = 3
/
ATOMIC_SPECIES
Rb 85.47 Rb.upf
Dy 162.50 Dy.upf
O 16.00 O.upf
CELL_PARAMETERS angstrom
8.9303 -1.8717 0.0000
8.9303 1.8717 0.0000
-1.9005 0.0000 7.4327
ATOMIC_POSITIONS angstrom
Rb 0.0000 0.0000 0.0000
Rb 4.8784 0.0000 4.7307
Rb 5.8638 0.0000 1.3167
Rb 10.0964 0.0000 6.1160
Rb 11.0818 0.0000 2.7021
Dy -0.9503 0.0000 3.7164
O 1.2859 0.0000 4.3309
O 7.5820 0.0000 5.2301
O 8.3781 0.0000 2.2027
O 14.6742 0.0000 3.1019
```

Summary:
**Magnetic moment**: 0.00 μB per atom
**Crystal system**: monoclinic
**Total energy**: -4.4679 eV per atom
**E above lowest polymorph**: 1.05 eV/f.u.
**Formation energy from raw total energies**: -1.541 eV/atom

---

## Rb14Dy2O9 (PBE-GGA)

Data for a relaxed structure of Rb14Dy2O9. Values from VASP.

Quantum ESPRESSO input file:
```
&SYSTEM
  ibrav = 0, nat = 25, ntyp = 3
/
ATOMIC_SPECIES
Rb 85.47 Rb.upf
Dy 162.50 Dy.upf
O 16.00 O.upf
CELL_PARAMETERS angstrom
8.2928 0.0000 0.0000
-4.1464 7.1818 0.0000
0.0000 0.0000 11.6253
ATOMIC_POSITIONS angstrom
Rb 0.0000 0.0000 2.9047
Rb 0.0000 0.0000 8.7206
Rb -2.5733 4.7877 4.7083
Rb -0.8267 2.7990 1.0764
Rb -1.3090 6.4982 1.0764
Rb 1.2868 2.5594 4.7083
Rb 2.8599 0.1653 6.9170
Rb 2.0107 2.1155 10.5489
Rb 2.1357 5.0663 1.0764
Rb 1.2865 7.0165 4.7083
Rb 2.8596 4.6224 6.9170
Rb 5.4554 0.6836 10.5489
Rb 4.9731 4.3827 10.5489
Rb 6.7197 2.3941 6.9170
Dy 0.0000 4.7878 9.0913
Dy 4.1464 2.3939 2.5340
O 0.0000 0.0000 5.8127
O -0.6336 2.8051 9.8027
O -1.4003 6.3279 9.8027
O 0.0000 4.7878 6.9263
O 2.1125 1.9513 1.8226
O 2.0339 5.2305 9.8027
O 4.1464 2.3939 4.6990
O 5.5467 0.8539 1.8226
O 4.7800 4.3766 1.8226
```

Summary:
**Magnetic moment**: 0.06 μB per atom
**Crystal system**: trigonal
**Total energy**: -4.0472 eV per atom
**Formation energy from raw total energies**: -1.352 eV/atom